! AlZn2Ag7 | Alexandria | PBE | optimized geometry; values from VASP
! - space-group type = P3m1
! - total DFT energy (no corrections) (eV per atom) = -2.541
! - energy of formation from the pure elements (eV per atom) = 0.084
&SYSTEM
  ibrav = 0, nat = 10, ntyp = 3
/
ATOMIC_SPECIES
Al 26.98 Al.upf
Ag 107.87 Ag.upf
Zn 65.41 Zn.upf
CELL_PARAMETERS angstrom
-2.701 3.486 0.644
0.730 -1.522 -4.125
-8.398 -6.688 0.982
ATOMIC_POSITIONS crystal
Al 0.000 0.000 0.008
Ag 0.667 0.333 0.113
Ag 0.000 0.000 0.739
Ag 0.667 0.333 0.590
Ag 0.000 0.000 0.262
Ag 0.667 0.333 0.853
Ag 0.333 0.667 0.438
Ag 0.333 0.667 0.969
Zn 0.667 0.333 0.351
Zn 0.333 0.667 0.693